Computed, not measured: a relaxed structure of ScIn2H at the GGA-PBE level of DFT.

POSCAR file:
```
ScIn2H
1.0
0.000 3.443 3.443
3.443 0.000 3.443
3.443 3.443 0.000
Sc H In
1 1 2
Cartesian
3.443 3.443 3.443 Sc
0.000 0.000 0.000 H
1.722 1.722 1.722 In
5.165 5.165 5.165 In
```

Summary:
E	-3.395	eV per atom
relative energy among the computed polymorphs	0.377	eV/atom

***

Computed, not measured: a relaxed structure of ScInH2 at the GGA-PBE level of DFT.

POSCAR file:
```
ScInH2
1.0
-1.984 -1.851 3.833
-3.832 -1.065 -2.497
-0.877 -6.042 -0.494
Sc H In
2 4 2
Cartesian
-2.908 -1.458 0.668 Sc
-3.808 -4.282 -1.162 Sc
-1.735 -2.611 1.568 H
-3.065 -2.597 -0.813 H
-3.231 -5.734 -0.125 H
-5.354 -6.973 1.054 H
0.000 0.000 0.000 In
-2.884 -4.675 2.004 In
```

Summary:
E	-4.098	eV per atom
relative energy among the computed polymorphs	0.000	eV/atom

***

Computed, not measured: a relaxed structure of ScIn2H2 at the GGA-PBE level of DFT.

POSCAR file:
```
ScIn2H2
1.0
-4.329 3.882 1.821
-3.045 -4.605 2.578
2.197 0.670 3.793
Sc H In
2 4 4
Cartesian
0.000 0.000 0.000 Sc
-3.687 -0.362 2.200 Sc
-3.359 -2.483 2.384 H
-5.529 -0.551 3.300 H
-4.015 1.759 2.015 H
-1.845 -0.172 1.099 H
-2.261 -2.147 4.281 In
-4.431 -0.215 5.197 In
-2.916 2.095 3.911 In
-0.746 0.162 2.996 In
```

Summary:
E	-3.799	eV per atom